# 1
Entry from Alexandria via LeMat-Bulk: La2CeDyAs4 after structural relaxation (PBE).

Geometry as extended XYZ:
```
8
Lattice="-1.512 -3.989 0.225 6.144 -2.511 -3.242 0.940 0.059 7.348" Properties=species:S:1:pos:R:3 pbc="T T T"
La -0.286 -1.965 3.787
La 3.542 -1.226 2.053
Ce 2.316 -3.250 -1.508
Dy 0.000 0.000 0.000
As 0.971 -2.595 1.061
As 4.601 -3.846 3.271
As 2.268 -0.589 4.781
As 4.816 -1.863 -0.675
```

## Properties
Crystal system   monoclinic
Formation energy   -12.18 eV per formula unit
Raw total energy   -6.40 eV per atom

***

# 2
Entry from Alexandria via LeMat-Bulk: La2CeDy3As6 after structural relaxation (PBE).

Geometry as extended XYZ:
```
12
Lattice="-0.748 -0.016 -4.160 6.229 -5.593 -1.097 -6.996 -5.315 3.425" Properties=species:S:1:pos:R:3 pbc="T T T"
La -1.141 -7.284 -1.914
La -0.374 -3.640 0.081
Ce -0.374 -0.008 -2.080
Dy 2.740 -2.804 -2.629
Dy -4.241 -4.478 -1.368
Dy 2.726 -6.446 -0.465
As 0.853 -8.726 -0.119
As 0.900 -5.056 -2.289
As -2.368 -2.198 -1.713
As -6.137 -6.693 -1.018
As 4.622 -4.231 -0.814
As -2.415 -5.868 0.457
```

## Properties
Crystal system   monoclinic
Formation energy   -18.30 eV per formula unit
Raw total energy   -6.32 eV per atom

***

# 3
Entry from Alexandria via LeMat-Bulk: CeNd3Dy2As6 after structural relaxation (PBE).

Geometry as extended XYZ:
```
12
Lattice="-2.009 3.222 6.220 -4.456 -4.773 -3.235 5.038 -4.605 2.590" Properties=species:S:1:pos:R:3 pbc="T T T"
Ce 0.000 0.000 0.000
Nd -1.530 -5.744 -0.366
Nd 0.102 -0.411 5.941
Nd -0.714 -3.078 2.787
Dy -3.640 -2.108 -0.083
Dy -2.825 0.557 3.068
As -0.636 -3.325 5.789
As -3.614 -2.265 2.851
As -0.791 -2.830 -0.215
As -1.453 -5.994 2.633
As 2.187 -3.890 2.724
As 0.026 -0.161 2.942
```

## Properties
Crystal system   monoclinic
Formation energy   -18.10 eV per formula unit
Raw total energy   -6.29 eV per atom

***

# 4
Entry from Alexandria via LeMat-Bulk: Ce2NdDy3As6 after structural relaxation (PBE).

Geometry as extended XYZ:
```
12
Lattice="7.238 -0.001 0.001 -3.618 6.269 0.001 -1.207 -2.090 6.808" Properties=species:S:1:pos:R:3 pbc="T T T"
Ce -0.002 4.181 0.001
Ce 3.623 2.088 0.001
Nd 0.000 0.000 0.000
Dy -2.421 4.185 3.405
Dy 4.835 -0.006 3.405
Dy 1.207 2.089 3.405
As 3.632 2.065 5.071
As 2.400 4.155 1.744
As -1.219 2.113 1.740
As -0.027 4.178 5.071
As 0.013 0.023 5.066
As 2.440 0.000 1.740
```

## Properties
Crystal system   monoclinic
Formation energy   -17.97 eV per formula unit
Raw total energy   -6.36 eV per atom

***

# 5
Entry from Alexandria via LeMat-Bulk: CeNd2DyAs4 after structural relaxation (PBE).

Geometry as extended XYZ:
```
8
Lattice="-2.183 -2.950 2.081 6.070 -2.013 3.514 -3.403 5.218 3.826" Properties=species:S:1:pos:R:3 pbc="T T T"
Ce 1.943 -2.481 2.797
Nd -2.793 1.134 2.953
Nd 1.333 1.602 3.670
Dy 0.000 0.000 0.000
As -0.416 -0.714 2.828
As 0.900 0.969 6.593
As -1.054 3.447 3.781
As 3.720 -0.243 3.559
```

## Properties
Crystal system   monoclinic
Formation energy   -11.99 eV per formula unit
Raw total energy   -6.33 eV per atom

***

# 6
Entry from Alexandria via LeMat-Bulk: Ce2DyNpAs4 after structural relaxation (PBE).

Geometry as extended XYZ:
```
8
Lattice="4.166 0.000 0.000 0.000 7.222 0.129 0.000 -2.520 6.738" Properties=species:S:1:pos:R:3 pbc="T T T"
Ce 2.083 -1.260 3.369
Ce 0.000 2.351 3.434
Dy 0.000 0.000 0.000
Np 2.083 3.611 0.065
As 2.083 1.183 1.680
As 2.083 3.519 5.187
As 0.000 -0.081 5.132
As 0.000 4.784 1.735
```

## Properties
Crystal system   monoclinic
Formation energy   -10.12 eV per formula unit
Raw total energy   -7.27 eV per atom

***

# 7
Entry from Alexandria via LeMat-Bulk: CeDyNp2As4 after structural relaxation (PBE).

Geometry as extended XYZ:
```
8
Lattice="4.136 0.000 0.000 0.000 7.168 0.125 0.000 -2.503 6.721" Properties=species:S:1:pos:R:3 pbc="T T T"
Ce 2.068 3.584 0.062
Dy 0.000 0.000 0.000
Np 2.068 -1.251 3.360
Np 0.000 2.333 3.423
As 2.068 1.147 1.740
As 2.068 3.518 5.106
As 0.000 -0.106 5.035
As 0.000 4.771 1.811
```

## Properties
Crystal system   monoclinic
Formation energy   -8.61 eV per formula unit
Raw total energy   -7.95 eV per atom

***

# 8
Entry from Alexandria via LeMat-Bulk: CeDyAsO2 after structural relaxation (PBE).

Geometry as extended XYZ:
```
5
Lattice="3.843 0.000 0.000 0.000 3.843 0.000 -1.921 -1.921 6.128" Properties=species:S:1:pos:R:3 pbc="T T T"
Ce 1.921 1.921 4.294
Dy 0.000 0.000 1.877
As 0.000 0.000 6.095
O 1.921 0.000 3.059
O 0.000 1.921 3.059
```

## Properties
Crystal system   tetragonal
Raw total energy   -7.75 eV per atom
Energy relative to the elements, uncorrected   -2.729 eV/atom

***

# 9
Entry from Alexandria via LeMat-Bulk: Ce2Dy3PaAs6 after structural relaxation (PBE).

Geometry as extended XYZ:
```
12
Lattice="4.147 0.000 0.000 0.000 8.279 0.310 -2.074 -2.369 8.707" Properties=species:S:1:pos:R:3 pbc="T T T"
Ce 2.074 3.927 6.008
Ce 0.000 1.983 3.009
Dy 2.074 4.139 0.155
Dy 2.074 -0.193 5.835
Dy 0.000 6.103 3.182
Pa 2.074 0.000 0.000
As 0.000 6.039 6.125
As 2.074 4.073 3.063
As 2.074 -0.129 2.893
As 2.074 -0.328 8.753
As 0.000 6.237 0.264
As 0.000 1.837 5.954
```

## Properties
Crystal system   monoclinic
Formation energy   -17.01 eV per formula unit
Raw total energy   -6.67 eV per atom

***

# 10
Entry from Alexandria via LeMat-Bulk: CeDyPa2As4 after structural relaxation (PBE).

Geometry as extended XYZ:
```
8
Lattice="-1.824 -1.646 3.312 4.591 -5.471 -0.192 2.692 5.223 4.078" Properties=species:S:1:pos:R:3 pbc="T T T"
Ce 0.000 0.000 0.000
Dy 1.384 -3.559 1.560
Pa 0.434 1.788 3.695
Pa 3.641 -0.124 1.943
As 0.948 -0.882 2.650
As 4.511 -1.013 4.548
As 3.161 2.519 2.993
As 4.122 -2.768 0.894
```

## Properties
Crystal system   monoclinic
Formation energy   -10.06 eV per formula unit
Raw total energy   -7.27 eV per atom

***

# 11
Entry from Alexandria via LeMat-Bulk: Ce2DyPaAs5 after structural relaxation (PBE).

Geometry as extended XYZ:
```
9
Lattice="-3.410 2.110 -3.150 -3.651 -2.973 1.960 -2.186 7.601 7.459" Properties=species:S:1:pos:R:3 pbc="T T T"
Ce -4.139 1.685 1.482
Ce -5.108 5.054 4.787
Dy 0.000 0.000 0.000
Pa -1.093 3.801 3.729
As -2.918 2.314 4.709
As -2.798 4.856 2.154
As -1.647 5.727 5.620
As -0.539 1.874 1.839
As -3.530 -0.431 -0.595
```

## Properties
Crystal system   tetragonal
Formation energy   -5.36 eV per formula unit
Raw total energy   -6.06 eV per atom

***

# 12
Entry from Alexandria via LeMat-Bulk: Ce3Dy2PaAs6 after structural relaxation (PBE).

Geometry as extended XYZ:
```
12
Lattice="7.200 -0.001 0.001 -3.599 6.236 0.001 -1.200 -2.078 6.824" Properties=species:S:1:pos:R:3 pbc="T T T"
Ce -2.386 4.150 3.413
Ce 4.787 0.007 3.413
Ce 1.200 2.079 3.413
Dy 0.004 4.155 0.001
Dy 3.596 2.080 0.001
Pa 0.000 0.000 0.000
As 3.587 2.103 5.176
As 2.416 4.183 1.652
As -1.186 2.054 1.650
As 0.029 4.158 5.176
As -0.015 -0.026 5.174
As 2.372 -0.001 1.650
```

## Properties
Crystal system   monoclinic
Formation energy   -16.84 eV per formula unit
Raw total energy   -6.77 eV per atom

***

| no. | magnetization (μB/atom) |
| --- | --- |
| 1 | 0.073 |
| 2 | 0.048 |
| 3 | 0.038 |
| 4 | 0.100 |
| 5 | 0.066 |
| 6 | 0.665 |
| 7 | 1.060 |
| 8 | 0.034 |
| 9 | 0.149 |
| 10 | 0.112 |
| 11 | 0.169 |
| 12 | 0.224 |